This record from Alexandria via LeMat-Bulk describes an optimized crystal structure of CrCoTe2. The functional is PBE-GGA.

Cell and atoms, written as POSCAR:
```
CrCoTe2
1.0
4.901 0.000 0.000
0.000 3.770 0.000
-1.079 0.000 4.804
Cr Co Te
1 1 2
direct
0.000 0.000 0.000 Cr
0.500 0.000 0.500 Co
0.282 0.500 0.719 Te
0.718 0.500 0.281 Te
```

Values from the calculation:
volume: 22.2 Å³ per atom
space group: No. 10
spin magnetization: 1.18 μB per atom
electronic total energy: -21.4 eV/cell
energy above the lowest structure with this stoichiometry: 0.5168 eV/atom

---

This record from Alexandria via LeMat-Bulk describes an optimized crystal structure of AgBAuO2. The functional is PBE-GGA.

Cell and atoms, written as POSCAR:
```
AgBAuO2
1.0
3.816 0.000 0.000
0.000 3.816 0.000
0.000 0.000 5.760
Ag B Au O
1 1 1 2
direct
0.000 0.000 0.000 Ag
0.500 0.500 0.500 B
0.000 0.000 0.500 Au
0.000 0.500 0.000 O
0.500 0.000 0.000 O
```

Values from the calculation:
volume: 16.8 Å³ per atom
space group: No. 123
spin magnetization: 0.03 μB per atom
electronic total energy: -16.1 eV/cell

---

This record from Alexandria via LeMat-Bulk describes an optimized crystal structure of RbInAg2Mo. The functional is PBE-GGA.

Cell and atoms, written as POSCAR:
```
RbInAg2Mo
1.0
5.946 0.000 0.000
0.000 5.946 0.000
0.000 0.000 6.242
Rb In Ag Mo
1 1 2 1
direct
0.000 0.000 0.000 Rb
0.500 0.500 0.500 In
0.000 0.500 0.000 Ag
0.500 0.000 0.000 Ag
0.000 0.000 0.500 Mo
```

Values from the calculation:
E_form: 1.8763 eV per atom
volume: 44.1 Å³ per atom
space group: No. 123
spin magnetization: 1.11 μB per atom
electronic total energy: -10.9 eV/cell

---

This record from Alexandria via LeMat-Bulk describes an optimized crystal structure of Tb3SmSi4. The functional is PBE-GGA.

Cell and atoms, written as POSCAR:
```
Tb3SmSi4
1.0
3.966 0.000 0.000
0.000 6.337 0.000
0.000 0.000 15.753
Tb Sm Si
6 2 8
direct
0.000 0.000 0.000 Tb
0.000 0.500 0.195 Tb
0.000 0.500 0.805 Tb
0.500 0.000 0.305 Tb
0.500 0.000 0.695 Tb
0.500 0.500 0.500 Tb
0.000 0.000 0.500 Sm
0.500 0.500 0.000 Sm
0.000 0.316 0.368 Si
0.000 0.316 0.632 Si
0.000 0.684 0.368 Si
0.000 0.684 0.632 Si
0.500 0.184 0.132 Si
0.500 0.184 0.868 Si
0.500 0.816 0.132 Si
0.500 0.816 0.868 Si
```

Values from the calculation:
volume: 24.7 Å³ per atom
space group: No. 71
spin magnetization: 0.00 μB per atom
electronic total energy: -89.2 eV/cell

---

This record from Alexandria via LeMat-Bulk describes an optimized crystal structure of CsAg2HgI4. The functional is PBE-GGA.

Cell and atoms, written as POSCAR:
```
CsAg2HgI4
1.0
0.000 4.933 7.805
4.924 0.000 7.805
4.924 4.933 0.000
Cs Ag Hg I
1 2 1 4
direct
0.000 0.000 0.000 Cs
0.249 0.249 0.251 Ag
0.749 0.749 0.751 Ag
0.499 0.499 0.501 Hg
0.127 0.558 0.873 I
0.441 0.871 0.129 I
0.558 0.127 0.442 I
0.871 0.441 0.559 I
```

Values from the calculation:
volume: 47.4 Å³ per atom
space group: No. 42
spin magnetization: 0.00 μB per atom
electronic total energy: -16.8 eV/cell

---

This record from Alexandria via LeMat-Bulk describes an optimized crystal structure of VGa2Pt9. The functional is PBE-GGA.

Cell and atoms, written as POSCAR:
```
VGa2Pt9
1.0
3.935 0.000 0.000
0.000 3.935 0.000
0.000 0.000 11.817
V Ga Pt
1 2 9
direct
0.000 0.000 0.000 V
0.000 0.000 0.337 Ga
0.000 0.000 0.663 Ga
0.000 0.500 0.161 Pt
0.000 0.500 0.500 Pt
0.000 0.500 0.839 Pt
0.500 0.000 0.161 Pt
0.500 0.000 0.500 Pt
0.500 0.000 0.839 Pt
0.500 0.500 0.000 Pt
0.500 0.500 0.331 Pt
0.500 0.500 0.669 Pt
```

Values from the calculation:
E_form: -0.4781 eV per atom
volume: 15.2 Å³ per atom
space group: No. 123
spin magnetization: 0.04 μB per atom
electronic total energy: -75.3 eV/cell

---

This record from Alexandria via LeMat-Bulk describes an optimized crystal structure of HfMgS2Cl. The functional is PBE-GGA.

Cell and atoms, written as POSCAR:
```
HfMgS2Cl
1.0
4.963 0.000 0.000
0.000 4.963 0.000
0.000 0.000 4.932
Hf Mg S Cl
1 1 2 1
direct
0.000 0.000 0.000 Hf
0.500 0.500 0.500 Mg
0.000 0.500 0.000 S
0.500 0.000 0.000 S
0.000 0.000 0.500 Cl
```

Values from the calculation:
volume: 24.3 Å³ per atom
space group: No. 123
spin magnetization: 0.07 μB per atom
electronic total energy: -26.3 eV/cell
energy above the lowest structure with this stoichiometry: 0.0000 eV/atom

---

This record from Alexandria via LeMat-Bulk describes an optimized crystal structure of Nb2TlPS10. The functional is PBE-GGA.

Cell and atoms, written as POSCAR:
```
Nb2TlPS10
1.0
7.378 0.000 0.000
0.000 7.813 0.000
-4.033 0.000 12.555
Nb Tl P S
4 2 2 20
direct
0.000 0.054 0.000 Nb
0.000 0.946 0.500 Nb
0.996 0.058 0.289 Nb
0.996 0.942 0.789 Nb
0.604 0.496 0.066 Tl
0.604 0.504 0.566 Tl
0.145 0.387 0.169 P
0.145 0.613 0.669 P
0.248 0.135 0.188 S
0.248 0.865 0.688 S
0.249 0.134 0.463 S
0.249 0.866 0.963 S
0.258 0.113 0.913 S
0.258 0.887 0.413 S
0.338 0.430 0.714 S
0.338 0.570 0.214 S
0.744 0.124 0.831 S
0.744 0.126 0.373 S
0.744 0.874 0.873 S
0.744 0.876 0.331 S
0.750 0.042 0.102 S
0.750 0.958 0.602 S
0.936 0.162 0.634 S
0.936 0.838 0.134 S
0.961 0.386 0.261 S
0.961 0.614 0.761 S
0.993 0.387 0.009 S
0.993 0.613 0.509 S
```

Values from the calculation:
volume: 25.8 Å³ per atom
space group: No. 7
spin magnetization: 0.00 μB per atom
electronic total energy: -155.3 eV/cell